Entry from Alexandria via LeMat-Bulk: an optimized crystal structure of AlSiCl (GGA-PBE).

Structure (CIF):
```
data_AlSiCl
_symmetry_space_group_name_H-M 'P 1'
_symmetry_Int_Tables_number 1
_symmetry_space_group_name_Hall 'P 1'
_cell_length_a 3.3502
_cell_length_b 3.6410
_cell_length_c 11.9713
_cell_angle_alpha 81.44
_cell_angle_beta 82.04
_cell_angle_gamma 63.13
loop_
_atom_site_label
_atom_site_type_symbol
_atom_site_fract_x
_atom_site_fract_y
_atom_site_fract_z
Al1 Al 0.0000 0.0000 0.0000
Al2 Al 0.4486 0.5062 0.6035
Si1 Si 0.3555 0.4451 0.8612
Si2 Si 0.7177 0.8445 0.7436
Cl1 Cl 0.0564 0.4276 0.4612
Cl2 Cl 0.4890 0.8768 0.1423
```

Values from the calculation:
ΔE_f (raw) in eV/atom: -0.390
Magnetic moment in μB/f.u.: 0.0
DOS(E_F) in states/eV/atom: 0.20
Energy relative to the lowest polymorph listed for this composition in eV per formula unit: 0.52